A relaxed CeDy2GaC crystal, computed with PBE.

Properties
E_form (eV per atom): -0.379
SG: P4/mmm (123)

```
CeDy2GaC
1.0
-0.1953 4.8026 0.4999
0.0476 -0.5044 4.8643
4.8864 0.2015 -0.0270
Dy Ga C Ce
2 1 1 1
Direct
0.0000 0.0000 0.5000
0.0000 0.5000 0.0000
0.5000 0.5000 0.5000
0.0000 0.0000 0.0000
0.5000 0.0000 0.0000
```